# MgAl3Se PBE relaxed
# electronic total energy = -2.715 eV/atom
# polymorph energy (0 for the lowest one) = 0.000 kcal/mol of atoms
# size of the total moment = 0.0000 μB/atom
# energy relative to the elements, uncorrected = 0.55 eV/atom
data_MgAl3Se
_cell_length_a 5.0207
_cell_length_b 5.0207
_cell_length_c 5.0207
_cell_angle_alpha 90.00
_cell_angle_beta 90.00
_cell_angle_gamma 90.00
_symmetry_space_group_name_H-M 'P m -3 m'
_symmetry_Int_Tables_number 221
_symmetry_space_group_name_Hall '-P 4 2 3'
loop_
_atom_site_label
_atom_site_type_symbol
_atom_site_fract_x
_atom_site_fract_y
_atom_site_fract_z
_atom_site_occupancy
Mg1 Mg 0.0000 0.0000 0.0000 1
Al1 Al 0.0000 0.5000 0.5000 1
Se1 Se 0.5000 0.5000 0.5000 1